No. 1
# LaFePt2

A crystal of LaFePt2 relaxed with PBEsol (SCAN, the Alexandria database).

For the polymorph energy (0 for the lowest one), the calculation gives 371 meV/atom. The calculation puts the formation energy at -2.03 eV/f.u. The value obtained for the total magnetization is 3.2 μB/f.u.

The structure belongs to space group Imm2 (No. 44); the cell edges are 4.0820, 4.0926 and 8.5561 Å and the angles 90.00°, 90.00° and 90.00°. The inequivalent atoms are La at (0.0000, 0.0000, 0.0000), Fe at (0.0000, 0.5000, 0.7501), Pt at (0.0000, 0.0000, 0.4996) and Pt at (0.0000, 0.5000, 0.2497).

No. 2
# BeInRh2

A crystal of BeInRh2 relaxed with PBEsol (SCAN, the Alexandria database).

The calculation puts the formation energy at -2.08 eV/f.u. The value obtained for the total magnetization is 0.0 μB/f.u.

The structure belongs to space group P4/mmm (No. 123); the cell edges are 2.9465, 2.9465 and 6.1474 Å and the angles 90.00°, 90.00° and 90.00°. The inequivalent atoms are Be at (0.0000, 0.0000, 0.0000), In at (0.0000, 0.0000, 0.5000) and Rh at (0.5000, 0.5000, 0.2148).

No. 3
# CoPdO2

A crystal of CoPdO2 relaxed with PBEsol (SCAN, the Alexandria database).

The uncorrected formation energy comes out at -0.543 eV/atom. The value obtained for the total magnetization is 3.1 μB/f.u.

The structure belongs to space group I-42d (No. 122); the cell edges are 4.8446, 4.8446 and 8.0359 Å and the angles 90.00°, 90.00° and 90.00°. The inequivalent atoms are Co at (0.0000, 0.0000, 0.0000), Pd at (0.0000, 0.0000, 0.5000) and O at (0.1962, 0.7500, 0.1250).